The following is a DFT calculation (SCAN) of a PBEsol-optimized structure of Y17Al12.

Its magnetic moment is 0.00 μB per cell.

abc: 11.0879 11.0879 11.0879
angles: 90.00 90.00 90.00
Last column: nearest neighbours and their distance in Å.
Space group I-43m (No. 217)
Asymmetric unit:
Y (0.0000, 0.0000, 0.0000) x2  4 Y 3.24, 12 Al 3.32
Y (0.0487, 0.3565, 0.3565) x24  5 Al 3.15-3.29, 7 Y 3.16-3.36
Y (0.1687, 0.1687, 0.8313) x8  4 Y 3.16-3.24, 6 Al 3.20
Al (0.0874, 0.0874, 0.2730) x24  3 Al 2.74-2.91

The following is a DFT calculation (SCAN) of a PBEsol-optimized structure of Y5Al4.

Its magnetic moment is 2.02 μB per cell.

abc: 9.5446 9.5446 4.5549
angles: 90.00 90.00 90.00
Last column: nearest neighbours and their distance in Å.
Space group I4/mmm (No. 139)
Asymmetric unit:
Y (0.0000, 0.0000, 0.0000) x2  8 Y 3.27, 4 Al 3.31
Y (0.1733, 0.1733, 0.5000) x8  6 Y 3.08-3.31, 6 Al 3.12-3.27
Al (0.0000, 0.3469, 0.0000) x8  5 Al 2.92-3.08, 6 Y 3.12-3.27

The following is a DFT calculation (SCAN) of a PBEsol-optimized structure of Y5Al.

Its magnetic moment is 0.00 μB per cell.

abc: 12.1065 3.6565 8.3817
angles: 90.00 112.67 90.00
Last column: nearest neighbours and their distance in Å.
Space group C2/m (No. 12)
Asymmetric unit:
Y (0.0000, 0.0000, 0.0000) x2  12 Y 3.38-3.73
Y (0.1423, 0.5000, 0.3597) x4  2 Al 3.04, 4 Y 3.31-3.38
Y (0.1663, 0.5000, 0.7971) x4  2 Al 3.12, 1 Y 3.45
Al (0.0000, 0.0000, 0.5000) x2  8 Y 3.04-3.12

The following is a DFT calculation (SCAN) of a PBEsol-optimized structure of YAl2Zn.

Its magnetic moment is 0.00 μB per cell.

abc: 6.6870 6.6870 6.6870
angles: 90.00 90.00 90.00
Last column: nearest neighbours and their distance in Å.
Space group F-43m (No. 216)
Asymmetric unit:
Y (0.0000, 0.0000, 0.0000) x4  4 Zn 2.90, 4 Al 2.90
Al (0.0000, 0.0000, 0.5000) x4  4 Al 2.90, 4 Zn 2.90
Al (0.2500, 0.2500, 0.2500) x4  4 Al 2.90, 4 Y 2.90
Zn (0.2500, 0.2500, 0.7500) x4  4 Al 2.90, 4 Y 2.90

no.,E_tot (eV for the cell shown)
1,-1151.2
2,-342.7
3,-295.4
4,-230.5